Entry 1:
{
  "formula": "Sn2BiS",
  "functional": "PBE-GGA",
  "state": "optimized geometry",
  "volume_a3_per_cell": 103.90,
  "spacegroup": "Fm-3m (225)",
  "e_form_raw_ev_per_atom": 0.09,
  "e_above_lowest_polymorph_mev_per_atom": 160,
  "e_tot_ev_per_cell": -15.64,
  "cell": [[0.000, 3.731, 3.731], [3.731, 0.000, 3.731], [3.731, 3.731, 0.000]],
  "species": ["Sn", "Sn", "S", "Bi"],
  "fractional_positions": [[0.250, 0.250, 0.250], [0.750, 0.750, 0.750], [0.000, 0.000, 0.000], [0.500, 0.500, 0.500]]
}

Entry 2:
{
  "formula": "MgAgRu2",
  "functional": "PBE-GGA",
  "state": "optimized geometry",
  "volume_a3_per_cell": 62.77,
  "formation_energy_ev_per_atom": 0.3310,
  "spacegroup": "P2/m (10)",
  "e_tot_ev_per_cell": -21.67,
  "cell": [[4.772, 0.000, 0.000], [0.000, 2.768, -0.032], [0.000, 0.328, 4.750]],
  "species": ["Mg", "Ru", "Ru", "Ag"],
  "fractional_positions": [[0.500, 0.750, 0.750], [0.000, 0.994, 0.985], [0.000, 0.506, 0.515], [0.500, 0.250, 0.250]]
}

Entry 3:
{
  "formula": "Pm2Nd3Y6Tm",
  "functional": "PBE-GGA",
  "state": "optimized geometry",
  "volume_a3_per_cell": 396.15,
  "formation_energy_ev_per_atom": 0.0134,
  "spacegroup": "C2/m (12)",
  "e_tot_ev_per_cell": -66.90,
  "cell": [[-5.711, 0.746, -2.427], [0.852, -3.838, 4.858], [-0.357, 9.913, 6.559]],
  "species": ["Nd", "Nd", "Nd", "Y", "Y", "Y", "Y", "Y", "Y", "Pm", "Pm", "Tm"],
  "fractional_positions": [[0.500, 0.500, 0.500], [0.833, 0.167, 0.500], [0.167, 0.833, 0.500], [0.585, 0.918, 0.752], [0.415, 0.082, 0.248], [0.082, 0.415, 0.248], [0.250, 0.250, 0.752], [0.918, 0.585, 0.752], [0.750, 0.750, 0.248], [0.666, 0.334, 0.000], [0.334, 0.666, 0.000], [0.000, 0.000, 0.000]]
}